This record from Alexandria via LeMat-Bulk describes a relaxed structure of Fe2PtRh. The functional is PBE.

energy of formation: -0.09 eV per atom
total energy: -30.67 eV per formula unit

```
Fe2PtRh
1.0
4.666 -0.012 -0.004
3.872 2.603 -0.004
0.845 0.256 4.516
Fe Pt Rh
2 1 1
direct
0.001 0.001 0.017
0.749 0.749 0.737
0.498 0.498 0.522
0.252 0.252 0.225
```

This record from Alexandria via LeMat-Bulk describes a relaxed structure of K4In3I8. The functional is PBE.

uncorrected formation energy: -961 meV per atom
total energy: -39.42 eV per formula unit

```
K4In3I8
1.0
-6.635 0.013 7.294
0.687 -7.686 -6.132
9.624 -0.770 1.986
I In K
8 3 4
direct
0.000 0.252 0.748
0.510 0.262 0.262
0.021 0.260 0.260
0.500 0.745 0.255
0.490 0.738 0.738
0.979 0.740 0.740
0.000 0.748 0.252
0.500 0.255 0.745
0.500 0.500 0.500
0.500 0.000 0.500
0.500 0.500 0.000
0.500 0.000 0.000
0.000 0.000 0.500
0.000 0.000 0.000
0.000 0.500 0.000
```

This record from Alexandria via LeMat-Bulk describes a relaxed structure of BeCdPt3. The functional is PBE.

energy above the lowest structure with this stoichiometry: 0.200 eV/atom
energy of formation: -0.24 eV per atom
total energy: -23.95 eV per formula unit

```
BeCdPt3
1.0
-4.249 -1.808 0.513
-2.242 2.447 3.251
-3.041 2.799 -2.121
Pt Be Cd
3 1 1
direct
0.497 0.992 0.992
0.992 0.992 0.497
0.992 0.497 0.992
0.995 0.995 0.995
0.399 0.399 0.399
```

This record from Alexandria via LeMat-Bulk describes a relaxed structure of YCBr2F. The functional is PBE.

uncorrected formation energy: 83 meV per atom
total energy: -20.49 eV per formula unit

```
YCBr2F
1.0
5.023 0.000 0.000
0.000 3.765 0.000
0.000 0.000 5.023
Br Y F C
2 1 1 1
direct
0.500 0.000 0.000
0.000 0.000 0.500
0.500 0.500 0.500
0.000 0.500 0.000
0.000 0.000 0.000
```

This record from Alexandria via LeMat-Bulk describes a relaxed structure of MnNi3Se6. The functional is PBE.

uncorrected formation energy: -284 meV per atom
total energy: -50.26 eV per formula unit

```
MnNi3Se6
1.0
6.254 0.000 0.000
3.127 5.416 0.000
3.127 1.805 5.302
Se Mn Ni
6 1 3
direct
0.937 0.559 0.249
0.255 0.937 0.249
0.752 0.064 0.751
0.432 0.752 0.751
0.559 0.255 0.249
0.064 0.432 0.751
0.843 0.843 0.472
0.346 0.346 0.962
0.155 0.155 0.535
0.657 0.657 0.030
```

This record from Alexandria via LeMat-Bulk describes a relaxed structure of Tb2HoCuSe5. The functional is PBE.

uncorrected formation energy: -1546 meV per atom
total energy: -49.27 eV per formula unit

```
Tb2HoCuSe5
1.0
-2.802 -0.552 -2.790
4.227 -7.897 0.175
-7.618 -3.891 8.420
Se Tb Ho Cu
10 4 2 2
direct
0.643 0.285 0.501
0.498 0.997 0.781
0.288 0.576 0.676
0.042 0.083 0.066
0.357 0.715 0.001
0.712 0.424 0.176
0.314 0.629 0.342
0.958 0.917 0.566
0.686 0.371 0.842
0.502 0.003 0.281
0.108 0.216 0.685
0.122 0.243 0.307
0.892 0.784 0.185
0.878 0.757 0.807
0.807 0.614 0.510
0.193 0.386 0.010
0.436 0.872 0.456
0.564 0.128 0.956
```

This record from Alexandria via LeMat-Bulk describes a relaxed structure of Er5Tm6Pb. The functional is PBE.

energy of formation: -0.06 eV per atom
total energy: -54.01 eV per formula unit

```
Er5Tm6Pb
1.0
-1.004 3.898 4.477
3.867 -5.289 4.185
7.088 2.553 -1.921
Tm Er Pb
6 5 1
direct
0.741 0.916 0.587
0.741 0.587 0.916
0.259 0.084 0.413
0.238 0.748 0.748
0.762 0.252 0.252
0.259 0.413 0.084
0.500 0.837 0.163
0.500 0.163 0.837
0.000 0.665 0.335
0.000 0.335 0.665
0.500 0.500 0.500
0.000 0.000 0.000
```

This record from Alexandria via LeMat-Bulk describes a relaxed structure of LiCdSe. The functional is PBE.

energy above the lowest structure with this stoichiometry: 0.000 eV/atom
uncorrected formation energy: -508 meV per atom
total energy: -7.84 eV per formula unit

```
LiCdSe
1.0
-0.385 -1.090 -4.067
3.736 1.297 1.497
0.983 -3.945 0.964
Se Cd Li
1 1 1
direct
0.333 0.667 0.542
0.000 0.000 0.994
0.667 0.333 0.464
```